PBE GaNi2BRh, optimized geometry; SG = No. 123; ΔE_f = -0.27 eV per atom; spin magnetization = 0.00 Bohr magnetons per cell
1.0
3.8443 0.0000 0.0000
0.0000 3.8443 0.0000
0.0000 0.0000 4.0556
Ga Rh Ni B
1 1 2 1
direct
0.5000 0.5000 0.5000
0.0000 0.0000 0.5000
0.5000 0.0000 0.0000
0.0000 0.5000 0.0000
0.0000 0.0000 0.0000

PBE GaNi2BRu, optimized geometry; SG = No. 123; ΔE_f = -0.23 eV per atom; spin magnetization = 0.00 Bohr magnetons per cell
1.0
-0.1474 3.7201 0.9013
-3.6841 0.1069 -1.0437
-1.0979 -0.9587 3.7774
Ru Ni B Ga
1 2 1 1
direct
0.0000 0.0000 0.5000
0.5000 0.0000 0.0000
0.0000 0.5000 0.0000
0.0000 0.0000 0.0000
0.5000 0.5000 0.5000

PBE Ga2SiNiB, optimized geometry; raw total energy = -21.65 eV per formula unit; SG = No. 123; spin magnetization = 0.00 Bohr magnetons per cell
1.0
4.3195 0.0000 0.0000
0.0000 3.9147 0.0000
0.0000 0.0000 4.3195
B Ni Ga Si
1 1 2 1
direct
0.0000 0.0000 0.0000
0.0000 0.5000 0.0000
0.0000 0.0000 0.5000
0.5000 0.0000 0.0000
0.5000 0.5000 0.5000

Q: spin magnetization of number 2 (GaNi2BRu)?
A: 0.00 Bohr magnetons per cell